Compound: Cs2CrH2Cl5O
Source: Alexandria via LeMat-Bulk
Functional: PBE+U
Structure: relaxed

a = 7.499 Å, b = 8.163 Å, c = 9.758 Å
α = 90.00°, β = 112.60°, γ = 90.00°
Each line ends with the local moment (μB).
Element x y z (fractional)
Cl (0.831, 0.540, 0.218)  -0.04
Cr (0.387, 0.250, 0.774)  3.07
Cs (0.750, 0.250, 0.500)  0.00
H (0.536, 0.152, 0.072)  0.00
Cl (0.831, 0.960, 0.218)  -0.04
Cl (0.613, 0.460, 0.782)  -0.04
Cl (0.169, 0.460, 0.782)  -0.04
H (0.536, 0.348, 0.072)  0.00
Cl (0.387, 0.960, 0.218)  -0.04
Cl (0.613, 0.040, 0.782)  -0.04
Cl (0.387, 0.540, 0.218)  -0.04
Cr (0.613, 0.750, 0.226)  3.07
H (0.464, 0.848, 0.928)  0.00
Cs (0.973, 0.750, 0.945)  0.00
Cl (0.169, 0.040, 0.782)  -0.04
H (0.464, 0.652, 0.928)  0.00
Cl (0.257, 0.250, 0.514)  -0.07
O (0.496, 0.750, 0.991)  -0.01
Cs (0.250, 0.750, 0.500)  0.00
O (0.504, 0.250, 0.009)  -0.01
Cl (0.743, 0.750, 0.486)  -0.07
Cs (0.027, 0.250, 0.055)  0.00

## Properties
crystal system	orthorhombic
E	-4.20	eV/atom
DOS(E_F)	0.0	states/eV/cell